Entry from Alexandria: ZrIr2Os after structural relaxation (PBE-GGA).

a b c (Å): 6.3884 6.3884 6.3884
angles (deg): 90.00 90.00 90.00
Closest atoms and distances in Å follow each position.
Space group F-43m (No. 216)
Symmetry-distinct sites (fractional):
Zr1 0.0000 0.0000 0.0000  4 Os 2.77, 4 Ir 2.77
Ir1 0.0000 0.0000 0.5000  4 Os 2.77, 4 Ir 2.77
Ir2 0.2500 0.2500 0.7500  4 Zr 2.77, 4 Ir 2.77
Os1 0.2500 0.2500 0.2500  4 Zr 2.77, 4 Ir 2.77

V: 16.3 Å³/atom
formation enthalpy at 0 K: 0.07 eV/atom
total moment: 0.0 μB per formula unit
E_tot: -9.307 eV/atom



Entry from Alexandria: LiTa4Mn after structural relaxation (PBE-GGA).

a b c (Å): 7.7168 7.7168 7.7168
angles (deg): 90.00 90.00 90.00
Closest atoms and distances in Å follow each position.
Space group F-43m (No. 216)
Symmetry-distinct sites (fractional):
Li1 0.0000 0.0000 0.0000  12 Ta 3.20, 4 Mn 3.34
Ta1 0.1249 0.1249 0.6249  6 Ta 2.73
Mn1 0.2500 0.2500 0.2500  12 Ta 3.20, 4 Li 3.34

V: 19.1 Å³/atom
formation enthalpy at 0 K: 0.67 eV/atom
total moment: 3.1 μB per formula unit
E_tot: -9.083 eV/atom



Entry from Alexandria: LiScPt2 after structural relaxation (PBE-GGA).

a b c (Å): 6.3317 6.3317 6.3317
angles (deg): 90.00 90.00 90.00
Closest atoms and distances in Å follow each position.
Space group Fm-3m (No. 225)
Symmetry-distinct sites (fractional):
Li1 0.0000 0.0000 0.0000  8 Pt 2.74
Sc1 0.0000 0.0000 0.5000  8 Pt 2.74
Pt1 0.2500 0.2500 0.2500  4 Li 2.74, 4 Sc 2.74

V: 15.9 Å³/atom
formation enthalpy at 0 K: -0.98 eV/atom
total moment: 0.0 μB per formula unit
E_tot: -6.059 eV/atom



Entry from Alexandria: PPb2N after structural relaxation (PBE-GGA).

a b c (Å): 6.8834 6.8834 6.8834
angles (deg): 90.00 90.00 90.00
Closest atoms and distances in Å follow each position.
Space group Fm-3m (No. 225)
Symmetry-distinct sites (fractional):
P1 0.0000 0.0000 0.0000  8 Pb 2.98
Pb1 0.2500 0.2500 0.2500  4 P 2.98, 4 N 2.98
N1 0.0000 0.0000 0.5000  8 Pb 2.98

V: 20.4 Å³/atom
total moment: 1.0 μB per formula unit
uncorrected formation energy: 1008 meV per atom
E_tot: -4.280 eV/atom



Entry from Alexandria: SbHPdAu2 after structural relaxation (PBE-GGA).

a b c (Å): 4.3017 4.3017 4.2760
angles (deg): 90.00 90.00 90.00
Closest atoms and distances in Å follow each position.
Space group P4/mmm (No. 123)
Symmetry-distinct sites (fractional):
Sb1 0.0000 0.0000 0.0000  8 Au 3.03, 4 Pd 3.04
H1 0.5000 0.5000 0.5000  2 Pd 2.14, 4 Au 2.15
Pd1 0.5000 0.5000 0.0000  2 H 2.14
Au1 0.0000 0.5000 0.5000  2 H 2.15

V: 15.8 Å³/atom
total moment: 0.0 μB per formula unit
E_tot: -3.742 eV/atom



Entry from Alexandria: TbGa3Pt2 after structural relaxation (PBE-GGA).

a b c (Å): 16.7948 4.1033 9.9977
angles (deg): 90.00 105.07 90.00
Closest atoms and distances in Å follow each position.
Space group C2/m (No. 12)
Symmetry-distinct sites (fractional):
Tb1 0.0000 0.0000 0.0000  6 Pt 3.09-3.33, 4 Ga 3.24
Tb2 0.1541 0.0000 0.7049  9 Ga 3.15-3.51, 6 Pt 3.23-3.30
Ga1 0.0000 0.5000 0.5000  4 Pt 2.56-2.72, 4 Ga 2.69
Ga2 0.0447 0.0000 0.3615  4 Pt 2.55-2.63, 2 Ga 2.69
Ga3 0.1314 0.5000 0.1901  4 Pt 2.57-2.61, 1 Ga 2.60
Ga4 0.1569 0.5000 0.9449  4 Pt 2.49-2.64, 1 Ga 2.60
Ga5 0.2199 0.0000 0.3797  4 Pt 2.49-2.63
Pt1 0.0178 0.5000 0.7786  5 Ga 2.49-2.72
Pt2 0.1423 0.5000 0.4514  7 Ga 2.49-2.63
Pt3 0.2045 0.0000 0.1136  6 Ga 2.54-2.64

V: 18.5 Å³/atom
formation enthalpy at 0 K: -0.83 eV/atom
total moment: 0.0 μB per formula unit
E_tot: -5.132 eV/atom



Entry from Alexandria: TlFe2Rh after structural relaxation (PBE-GGA).

a b c (Å): 7.1818 7.1818 5.3207
angles (deg): 90.00 90.00 90.00
Closest atoms and distances in Å follow each position.
Space group I-42d (No. 122)
Symmetry-distinct sites (fractional):
Tl1 0.0000 0.0000 0.0000  2 Rh 2.66, 4 Fe 2.81
Fe1 0.2145 0.7500 0.6250  2 Rh 2.46, 2 Fe 2.71
Rh1 0.0000 0.0000 0.5000  4 Fe 2.46, 2 Tl 2.66

V: 17.2 Å³/atom
formation enthalpy at 0 K: 0.58 eV/atom
total moment: 6.3 μB per formula unit
E_tot: -6.084 eV/atom



Entry from Alexandria: MnMoPb2 after structural relaxation (PBE-GGA).

a b c (Å): 3.8939 4.9592 8.5931
angles (deg): 90.00 90.00 90.00
Closest atoms and distances in Å follow each position.
Space group Immm (No. 71)
Symmetry-distinct sites (fractional):
Mn1 0.0000 0.0000 0.0000  4 Pb 2.86, 4 Mo 3.15
Mo1 0.0000 0.0000 0.5000  8 Pb 2.94-3.25, 4 Mn 3.15
Pb1 0.0000 0.5000 0.2562  2 Mn 2.86, 2 Mo 2.94, 4 Pb 3.15

V: 20.7 Å³/atom
formation enthalpy at 0 K: 0.73 eV/atom
total moment: 4.0 μB per formula unit
E_tot: -6.127 eV/atom



Entry from Alexandria: LaGaOs after structural relaxation (PBE-GGA).

a b c (Å): 4.9439 9.0410 6.5105
angles (deg): 90.00 90.00 90.00
Closest atoms and distances in Å follow each position.
Space group Imma (No. 74)
Symmetry-distinct sites (fractional):
La1 0.0000 0.0000 0.0000  4 Os 3.05, 2 Ga 3.41
Ga1 0.0000 0.2500 0.3912  2 Os 2.64
Os1 0.2500 0.2500 0.7500  2 Os 2.47, 2 Ga 2.64

V: 24.3 Å³/atom
formation enthalpy at 0 K: -0.19 eV/atom
total moment: 0.0 μB per formula unit
E_tot: -6.589 eV/atom



Entry from Alexandria: CaGeP2 after structural relaxation (PBE-GGA).

a b c (Å): 3.7392 3.7392 20.2688
angles (deg): 90.00 90.00 120.00
Closest atoms and distances in Å follow each position.
Space group R-3m (No. 166, hexagonal axes)
Symmetry-distinct sites (fractional):
Ca1 0.0000 0.0000 0.0000  6 P 2.93
Ge1 0.0000 0.0000 0.5000  6 P 2.57
P1 0.0000 0.0000 0.2356  3 Ge 2.57

V: 20.5 Å³/atom
formation enthalpy at 0 K: -0.30 eV/atom
total moment: 0.0 μB per formula unit
E_tot: -4.656 eV/atom



Entry from Alexandria: La2Au4Cl after structural relaxation (PBE-GGA).

a b c (Å): 4.8451 4.8451 16.5031
angles (deg): 90.00 90.00 90.00
Closest atoms and distances in Å follow each position.
Space group I4/mmm (No. 139)
Symmetry-distinct sites (fractional):
La1 0.0000 0.0000 0.1465  1 Au 2.88
Au1 0.0000 0.0000 0.3212  1 La 2.88, 1 Cl 2.95
Au2 0.0000 0.5000 0.0000  2 Cl 2.42
Cl1 0.0000 0.0000 0.5000  4 Au 2.42

V: 27.7 Å³/atom
total moment: 0.0 μB per formula unit
uncorrected formation energy: -160 meV per atom
E_tot: -3.704 eV/atom



Entry from Alexandria: K2RbPtAu after structural relaxation (PBE-GGA).

a b c (Å): 6.0675 6.0675 6.3042
angles (deg): 90.00 90.00 90.00
Closest atoms and distances in Å follow each position.
Space group P4/mmm (No. 123)
Symmetry-distinct sites (fractional):
K1 0.0000 0.5000 0.0000  2 Pt 3.03
Rb1 0.0000 0.0000 0.5000  2 Pt 3.15
Pt1 0.0000 0.0000 0.0000  4 K 3.03, 2 Rb 3.15
Au1 0.5000 0.5000 0.5000  4 Rb 4.29, 8 K 4.37

V: 46.4 Å³/atom
formation enthalpy at 0 K: 0.00 eV/atom
total moment: 0.0 μB per formula unit
E_tot: -2.497 eV/atom



Entry from Alexandria: Na3Sc2PbO6 after structural relaxation (PBE-GGA).

a b c (Å): 5.7129 9.8929 5.8877
angles (deg): 90.00 109.09 90.00
Closest atoms and distances in Å follow each position.
Space group C2/m (No. 12)
Symmetry-distinct sites (fractional):
Na1 0.0000 0.0000 0.0000  6 O 2.37-2.56
Na2 0.0000 0.3334 0.0000  6 O 2.37-2.57
Sc1 0.0000 0.1668 0.5000  6 O 2.17-2.18
Pb1 0.0000 0.5000 0.5000  6 O 2.38-2.39
O1 0.2090 0.0000 0.7131  2 Sc 2.18, 1 Na 2.37, 1 Pb 2.39
O2 0.2483 0.1811 0.2902  2 Sc 2.17, 1 Na 2.37, 1 Pb 2.38

V: 13.1 Å³/atom
total moment: 0.6 μB per formula unit
uncorrected formation energy: -2235 meV per atom
E_tot: -6.409 eV/atom



Entry from Alexandria: Ce3OsSeCl after structural relaxation (PBE-GGA).

a b c (Å): 7.5291 4.0679 10.0289
angles (deg): 90.00 92.87 90.00
Closest atoms and distances in Å follow each position.
Space group P2_1/m (No. 11)
Symmetry-distinct sites (fractional):
Ce1 0.0595 0.2500 0.1851  2 Os 2.76, 1 Cl 3.00, 1 Se 3.01
Ce2 0.2286 0.7500 0.5051  3 Os 2.86-2.87, 3 Se 3.06-3.07
Ce3 0.3924 0.2500 0.8223  1 Os 2.71, 2 Se 2.96, 2 Cl 2.97
Os1 0.0855 0.2500 0.6686  6 Ce 2.71-2.87
Se1 0.4179 0.2500 0.3316  6 Ce 2.96-3.07
Cl1 0.2573 0.7500 0.0086  6 Ce 2.97-3.12

V: 25.6 Å³/atom
total moment: 2.8 μB per formula unit
uncorrected formation energy: -1120 meV per atom
E_tot: -6.847 eV/atom



Entry from Alexandria: LaNd6Tl2 after structural relaxation (PBE-GGA).

a b c (Å): 16.0523 11.9060 6.1995
angles (deg): 90.00 98.19 90.00
Closest atoms and distances in Å follow each position.
Space group C2/c (No. 15)
Symmetry-distinct sites (fractional):
La1 0.0000 0.1151 0.2500  10 Nd 3.59-3.72
Nd1 0.0587 0.3858 0.5189  3 Tl 3.26-3.47, 5 Nd 3.30-3.65
Nd2 0.1200 0.1411 0.8062  2 Tl 3.28-3.51, 3 Nd 3.48-3.65, 2 La 3.59-3.60
Nd3 0.2328 0.1254 0.3311  5 Nd 3.35-3.68, 4 Tl 3.38-3.71, 1 La 3.70
Tl1 0.1591 0.3699 0.0983  8 Nd 3.26-3.51

V: 32.6 Å³/atom
formation enthalpy at 0 K: -0.13 eV/atom
total moment: 0.0 μB per formula unit
E_tot: -4.382 eV/atom



Entry from Alexandria: KLiZrCr2 after structural relaxation (PBE-GGA).

a b c (Å): 4.9671 4.9671 4.5082
angles (deg): 90.00 90.00 90.00
Closest atoms and distances in Å follow each position.
Space group P4/mmm (No. 123)
Symmetry-distinct sites (fractional):
K1 0.0000 0.0000 0.0000  2 Li 2.25
Li1 0.0000 0.0000 0.5000  2 K 2.25, 4 Cr 2.48
Zr1 0.5000 0.5000 0.0000  8 Cr 3.35, 4 K 3.51
Cr1 0.0000 0.5000 0.5000  2 Li 2.48

V: 22.2 Å³/atom
formation enthalpy at 0 K: 1.41 eV/atom
total moment: 6.9 μB per formula unit
E_tot: -4.754 eV/atom



Entry from Alexandria: Be3Co after structural relaxation (PBE-GGA).

a b c (Å): 2.3033 3.5283 4.3131
angles (deg): 90.00 102.61 90.00
Closest atoms and distances in Å follow each position.
Space group P2/m (No. 10)
Symmetry-distinct sites (fractional):
Be1 0.0000 0.0000 0.0000  6 Be 2.17-2.30, 2 Co 2.21
Be2 0.1965 0.5000 0.7495  6 Be 2.14-2.30, 2 Co 2.26
Co1 0.5000 0.0000 0.5000  10 Be 2.21-2.47, 2 Co 2.30

V: 8.6 Å³/atom
formation enthalpy at 0 K: -0.14 eV/atom
total moment: 0.7 μB per formula unit
E_tot: -4.706 eV/atom



Entry from Alexandria: HRu after structural relaxation (PBE-GGA).

a b c (Å): 2.7008 4.7514 2.7226
angles (deg): 90.00 90.00 90.00
Closest atoms and distances in Å follow each position.
Space group Cmmm (No. 65)
Symmetry-distinct sites (fractional):
H1 0.0000 0.0000 0.0000  4 Ru 1.92
Ru1 0.0000 0.5000 0.5000  4 H 1.92

V: 8.7 Å³/atom
total moment: 0.0 μB per formula unit
E_tot: -5.897 eV/atom



Entry from Alexandria: NpFe3 after structural relaxation (PBE-GGA).

a b c (Å): 3.7987 3.7987 3.7987
angles (deg): 90.00 90.00 90.00
Closest atoms and distances in Å follow each position.
Space group Pm-3m (No. 221)
Symmetry-distinct sites (fractional):
Np1 0.0000 0.0000 0.0000  12 Fe 2.69
Fe1 0.0000 0.5000 0.5000  8 Fe 2.69, 4 Np 2.69

V: 13.7 Å³/atom
formation enthalpy at 0 K: -0.01 eV/atom
total moment: 2.5 μB per formula unit
E_tot: -9.595 eV/atom



Entry from Alexandria: SrThB12 after structural relaxation (PBE-GGA).

a b c (Å): 4.1412 4.1412 8.3202
angles (deg): 90.00 90.00 90.00
Closest atoms and distances in Å follow each position.
Space group P4/mmm (No. 123)
Symmetry-distinct sites (fractional):
Sr1 0.0000 0.0000 0.0000  24 B 3.05-3.06
Th1 0.0000 0.0000 0.5000  24 B 3.04
B1 0.1996 0.5000 0.2521  5 B 1.65-1.77
B2 0.5000 0.5000 0.1013  5 B 1.69-1.77
B3 0.5000 0.5000 0.4016  5 B 1.64-1.76

V: 10.2 Å³/atom
formation enthalpy at 0 K: -0.47 eV/atom
total moment: 0.0 μB per formula unit
E_tot: -6.845 eV/atom